ZrGeAs: optimized geometry, GGA-PBEsol.

a b c (Å): 6.6032 3.6118 9.2914
angles (deg): 90.00 90.00 90.00
Element x y z (fractional)
Zr 0.2236 0.2500 0.1616
Zr 0.2764 0.7500 0.6616
Zr 0.7236 0.2500 0.3384
Zr 0.7764 0.7500 0.8384
Ge 0.1230 0.2500 0.4563
Ge 0.3770 0.7500 0.9563
Ge 0.6230 0.2500 0.0437
Ge 0.8770 0.7500 0.5437
As 0.1035 0.2500 0.8521
As 0.3965 0.7500 0.3521
As 0.6035 0.2500 0.6479
As 0.8965 0.7500 0.1479

Computed properties:
- Energy: -7.1488 eV per atom
- V: 222 Å³ per cell
- Mass density: 7.16 g/cm³
- N(E_F): 1.61 states/eV/f.u.
- Total magnetic moment: 0.00 μB per atom